(1)
This record from Alexandria describes crystalline SrY2Ag at its relaxed geometry. The functional is PBE-GGA.

```
SrY2Ag
1.0
-1.577 1.087 -4.764
2.114 -2.917 -1.366
-3.994 -5.478 0.072
Ag Sr Y
1 1 2
Cartesian
-1.259 -1.555 -2.705 Ag
-2.199 -5.753 -3.352 Sr
0.040 -0.462 -0.119 Y
-0.980 -3.736 -0.528 Y
```

Results
The energy relative to the elements comes out at 103 meV/atom. The value obtained for the volume is 32.15 A^3/atom. The total magnetization is 0.000 μB/f.u. The theoretical density is 4.8 g/cm³. The energy above the most stable polymorph in this dataset is 181 meV/atom.

(2)
This record from Alexandria describes crystalline SrY2Ag at its relaxed geometry. The functional is PBE-GGA.

```
SrY2Ag
1.0
-6.101 6.199 -2.350
0.968 -2.327 -8.650
-5.007 -0.338 -5.162
Y Sr Ag
4 2 2
Cartesian
-5.355 3.916 -3.999 Y
-0.999 -1.181 -6.832 Y
-5.746 1.355 -7.414 Y
-8.182 2.978 -14.079 Y
-2.567 1.936 -5.500 Sr
-3.303 -0.364 -9.656 Sr
0.000 0.000 0.000 Ag
-6.838 3.899 -6.506 Ag
```

Results
The energy relative to the elements comes out at 146 meV/atom. The value obtained for the volume is 34.02 A^3/atom. The total magnetization is 0.000 μB/f.u. The theoretical density is 4.6 g/cm³. The energy above the most stable polymorph in this dataset is 224 meV/atom.

- The highest energy above the most stable polymorph in this dataset belongs to which entry?
  number 2

- Look up the energy above the most stable polymorph in this dataset of the second one.
  224 meV/atom